Crystalline Tb7Ho2Sc at its relaxed geometry, computed with PBE.

Structure (POSCAR):
```
Tb7Ho2Sc
1.0
4.348 -8.665 0.000
4.348 8.665 0.000
0.000 0.000 5.013
Tb Ho Sc
7 2 1
direct
0.000 0.000 0.000
0.216 0.424 0.000
0.309 0.691 0.500
0.424 0.216 0.000
0.576 0.784 0.000
0.691 0.309 0.500
0.784 0.576 0.000
0.202 0.798 0.000
0.798 0.202 0.000
0.500 0.500 0.500
```

## Properties
- Final energy: -4.09 eV/atom
- Energy relative to the elements: 695 meV per atom
- Density: 6539 kg/m³
- Symmetry: No. 65